[1]
Material: KCaSc2
Method: DFT, GGA-PBE
State: optimized geometry

For the total energy, the calculation gives -3.11 eV per atom. The energy relative to the elements comes out at 829 meV/atom.

The structure belongs to space group I-42d (No. 122); the cell edges are 9.132, 9.132 and 6.456 Å and the angles 90.00°, 90.00° and 90.00°. Symmetry generates all atoms from K at (0.000, 0.000, 0.000), Ca at (0.000, 0.000, 0.500) and Sc at (0.244, 0.250, 0.125).

---

[2]
Material: KCa2Sc
Method: DFT, GGA-PBE
State: optimized geometry

For the total energy, the calculation gives -2.41 eV per atom. The energy relative to the elements comes out at 451 meV/atom.

The structure belongs to space group Pmmm (No. 47); the cell edges are 3.909, 6.295 and 6.493 Å and the angles 90.00°, 90.00° and 90.00°. Symmetry generates all atoms from K at (0.000, 0.000, 0.000), Ca at (0.000, 0.500, 0.500), Ca at (0.500, 0.500, 0.000) and Sc at (0.500, 0.000, 0.500).

---

[3]
Material: KCa2Sc
Method: DFT, GGA-PBE
State: optimized geometry

For the total energy, the calculation gives -2.54 eV per atom. The energy relative to the elements comes out at 314 meV/atom.

The structure belongs to space group P4mm (No. 99); the cell edges are 3.714, 3.714 and 11.863 Å and the angles 90.00°, 90.00° and 90.00°. Symmetry generates all atoms from K at (0.000, 0.000, 0.000), Ca at (0.000, 0.000, 0.459), Ca at (0.500, 0.500, 0.702) and Sc at (0.500, 0.500, 0.263).

---

[4]
Material: KCa2Sc
Method: DFT, GGA-PBE
State: optimized geometry

For the total energy, the calculation gives -2.47 eV per atom. The energy relative to the elements comes out at 387 meV/atom.

The structure belongs to space group Cmmm (No. 65); the cell edges are 8.046, 10.421 and 3.743 Å and the angles 90.00°, 90.00° and 90.00°. Symmetry generates all atoms from K at (0.000, 0.000, 0.000), Ca at (0.250, 0.250, 0.500) and Sc at (0.000, 0.500, 0.000).

---

[5]
Material: KCaSc2
Method: DFT, GGA-PBE
State: optimized geometry

For the total energy, the calculation gives -3.67 eV per atom. The energy relative to the elements comes out at 270 meV/atom.

The structure belongs to space group Pm (No. 6); the cell edges are 3.610, 3.609 and 11.007 Å and the angles 90.00°, 90.08° and 90.00°. Symmetry generates all atoms from K at (0.000, 0.000, 0.000), Ca at (0.498, 0.500, 0.325), Sc at (0.500, 0.500, 0.713) and Sc at (0.999, 0.000, 0.546).

---

[6]
Material: KCaSc2
Method: DFT, GGA-PBE
State: optimized geometry

For the total energy, the calculation gives -3.39 eV per atom. The energy relative to the elements comes out at 546 meV/atom.

The structure belongs to space group Immm (No. 71); the cell edges are 3.618, 5.912 and 12.482 Å and the angles 90.00°, 90.00° and 90.00°. Symmetry generates all atoms from K at (0.000, 0.000, 0.000), Ca at (0.000, 0.000, 0.500) and Sc at (0.000, 0.500, 0.244).